1.
A plane-wave DFT calculation with PBE-GGA was carried out for crystalline As2PbAu at its relaxed geometry.

Computed properties:
The total moment comes out at 0.0 μB per formula unit. Its crystal system is monoclinic. The electronic total energy comes out at -16.33 eV/cell. The calculation puts the calculated volume at 98.2 Å³/cell. As for the symmetry: P2/m. The value obtained for the formation energy is -0.01 eV/atom.

Unit cell a=4.0471 b=4.9856 c=5.0415 alpha=74.97 beta=90.00 gamma=90.00
Fractional coordinates of all 4 atoms:
Pb 0.5000 0.7500 0.7500
As 0.0000 0.9870 0.0936
As 0.0000 0.5130 0.4064
Au 0.5000 0.2500 0.2500

2.
A plane-wave DFT calculation with PBE-GGA was carried out for crystalline GaPb2S5 at its relaxed geometry.

Computed properties:
The total moment comes out at 0.7 μB per formula unit. Its crystal system is monoclinic. The electronic total energy comes out at -33.74 eV/cell. The calculation puts the calculated volume at 218.1 Å³/cell. As for the symmetry: Cm. As for the formation energy without anion corrections: -0.332 eV per atom.

Unit cell a=7.4829 b=7.4829 c=6.6518 alpha=127.90 beta=127.90 gamma=80.49
Last column: magnetic moment on the atom in μB.
Fractional coordinates of all 8 atoms:
Ga 0.9857 0.9857 0.8888  0.01
Pb 0.3189 0.8413 0.5952  0.01
Pb 0.8413 0.3189 0.5952  0.01
S 0.7658 0.1798 0.0341  0.05
S 0.2404 0.2404 0.0145  0.01
S 0.7649 0.7649 0.1104  0.11
S 0.1799 0.7658 0.0341  0.05
S 0.6801 0.6800 0.2816  0.20

3.
A plane-wave DFT calculation with PBE-GGA was carried out for crystalline Ce3SbTe3 at its relaxed geometry.

Computed properties:
The total moment comes out at 3.0 μB per formula unit. Its crystal system is trigonal. The electronic total energy comes out at -79.68 eV/cell. The calculation puts the calculated volume at 478.8 Å³/cell. As for the symmetry: R-3. As for the formation energy without anion corrections: -1.213 eV per atom.

Unit cell a=9.3488 b=9.3488 c=8.3152 alpha=55.80 beta=55.80 gamma=60.00
Last column: magnetic moment on the atom in μB.
Fractional coordinates of all 14 atoms:
Ce 0.3013 0.5385 0.2265  0.91
Ce 0.9337 0.3013 0.2265  0.91
Ce 0.5385 0.9337 0.2265  0.91
Ce 0.4615 0.0663 0.7735  0.91
Ce 0.0663 0.6987 0.7735  0.91
Ce 0.6987 0.4615 0.7735  0.91
Sb 0.3368 0.3368 0.9897  -0.05
Sb 0.6632 0.6632 0.0103  -0.05
Te 0.3575 0.8171 0.7258  -0.03
Te 0.8171 0.0996 0.7258  -0.03
Te 0.0996 0.3575 0.7258  -0.03
Te 0.9004 0.6425 0.2742  -0.03
Te 0.1829 0.9004 0.2742  -0.03
Te 0.6425 0.1829 0.2742  -0.03

4.
A plane-wave DFT calculation with PBE-GGA was carried out for crystalline Ac3PtSeCl at its relaxed geometry.

Computed properties:
The total moment comes out at 0.0 μB per formula unit. Its crystal system is monoclinic. The electronic total energy comes out at -64.19 eV/cell. The calculation puts the calculated volume at 389.9 Å³/cell. As for the symmetry: P2_1/m. As for the formation energy without anion corrections: -1.400 eV per atom.

Unit cell a=4.4197 b=9.0583 c=9.9170 alpha=100.89 beta=90.00 gamma=90.00
Fractional coordinates of all 12 atoms:
Ac 0.7500 0.8827 0.1102
Ac 0.2500 0.1173 0.8898
Ac 0.2500 0.7286 0.4857
Ac 0.7500 0.2714 0.5143
Ac 0.7500 0.4378 0.1653
Ac 0.2500 0.5622 0.8347
Pt 0.2500 0.6656 0.1507
Pt 0.7500 0.3344 0.8493
Se 0.2500 0.1857 0.2432
Se 0.7500 0.8143 0.7568
Cl 0.2500 0.0823 0.5938
Cl 0.7500 0.9177 0.4062

5.
A plane-wave DFT calculation with PBE-GGA was carried out for crystalline CsK2AlAg at its relaxed geometry.

Computed properties:
The total moment comes out at 0.0 μB per formula unit. Its crystal system is tetragonal. The electronic total energy comes out at -8.85 eV/cell. The calculation puts the calculated volume at 228.5 Å³/cell. As for the symmetry: P4/mmm. The value obtained for the formation energy is 0.16 eV/atom.

Unit cell a=6.6857 b=6.6857 c=5.1110 alpha=90.00 beta=90.00 gamma=90.00
Fractional coordinates of all 5 atoms:
Cs 0.5000 0.5000 0.5000
K 0.0000 0.5000 0.0000
K 0.5000 0.0000 0.0000
Al 0.0000 0.0000 0.5000
Ag 0.0000 0.0000 0.0000

6.
A plane-wave DFT calculation with PBE-GGA was carried out for crystalline SmDy3Te6 at its relaxed geometry.

Computed properties:
Its distance to the lowest polymorph of the same formula is 0.029 eV/atom. The total moment comes out at 0.0 μB per formula unit. Its crystal system is trigonal. The electronic total energy comes out at -51.03 eV/cell. The calculation puts the calculated volume at 365.3 Å³/cell. As for the symmetry: R3. As for the formation energy without anion corrections: -1.365 eV per atom.

Unit cell a=7.7347 b=7.7347 c=8.3458 alpha=62.39 beta=62.39 gamma=60.00
Fractional coordinates of all 10 atoms:
Sm 0.8447 0.8447 0.4660
Dy 0.3435 0.3435 0.9695
Dy 0.6578 0.6578 0.0266
Dy 0.1569 0.1569 0.5292
Te 0.9358 0.5564 0.2497
Te 0.2581 0.9358 0.2497
Te 0.5564 0.2581 0.2497
Te 0.0629 0.4321 0.7532
Te 0.7518 0.0629 0.7532
Te 0.4321 0.7518 0.7532

Q: Which value of calculated volume does entry 3 give?
A: 478.8 Å³/cell